1.
The following is a PBE calculation of an optimized crystal structure of LiAs, from Alexandria via LeMat-Bulk.

## Properties
**Final energy**: -0.128 Ha/atom
**Space group**: No. 227
**Calculated volume**: 71 Å³ per cell

POSCAR file:
```
LiAs
1.0
0.000 3.294 3.294
3.294 0.000 3.294
3.294 3.294 0.000
Li As
2 2
Direct
0.125 0.125 0.125
0.875 0.875 0.875
0.375 0.375 0.375
0.625 0.625 0.625
```

2.
The following is a PBE calculation of an optimized crystal structure of LiAs2, from Alexandria via LeMat-Bulk.

## Properties
**Final energy**: -0.146 Ha/atom
**Space group**: No. 63
**Calculated volume**: 115 Å³ per cell

POSCAR file:
```
LiAs2
1.0
1.903 -8.361 0.000
1.903 8.361 0.000
0.000 0.000 3.613
Li As
2 4
Direct
0.115 0.885 0.750
0.885 0.115 0.250
0.265 0.735 0.250
0.450 0.550 0.750
0.550 0.450 0.250
0.735 0.265 0.750
```

3.
The following is a PBE calculation of an optimized crystal structure of Li3As7, from Alexandria via LeMat-Bulk.

## Properties
**Final energy**: -0.152 Ha/atom
**Space group**: No. 61
**Calculated volume**: 3702 Å³ per cell

POSCAR file:
```
Li3As7
1.0
12.698 0.000 0.000
0.000 22.853 0.000
0.000 0.000 12.759
Li As
48 112
Direct
0.020 0.154 0.241
0.020 0.346 0.741
0.116 0.514 0.423
0.116 0.986 0.923
0.182 0.072 0.751
0.182 0.428 0.251
0.186 0.183 0.495
0.186 0.317 0.995
0.196 0.653 0.172
0.196 0.847 0.672
0.209 0.695 0.966
0.209 0.805 0.466
0.291 0.195 0.966
0.291 0.305 0.466
0.304 0.153 0.172
0.304 0.347 0.672
0.314 0.683 0.495
0.314 0.817 0.995
0.318 0.572 0.751
0.318 0.928 0.251
0.384 0.014 0.423
0.384 0.486 0.923
0.480 0.654 0.241
0.480 0.846 0.741
0.520 0.154 0.259
0.520 0.346 0.759
0.616 0.514 0.077
0.616 0.986 0.577
0.682 0.072 0.749
0.682 0.428 0.249
0.686 0.183 0.005
0.686 0.317 0.505
0.696 0.653 0.328
0.696 0.847 0.828
0.709 0.695 0.534
0.709 0.805 0.034
0.791 0.195 0.534
0.791 0.305 0.034
0.804 0.153 0.328
0.804 0.347 0.828
0.814 0.683 0.005
0.814 0.817 0.505
0.818 0.572 0.749
0.818 0.928 0.249
0.884 0.014 0.077
0.884 0.486 0.577
0.980 0.654 0.259
0.980 0.846 0.759
0.006 0.711 0.491
0.006 0.789 0.991
0.020 0.630 0.897
0.020 0.688 0.059
0.020 0.812 0.559
0.020 0.870 0.397
0.076 0.071 0.091
0.076 0.429 0.591
0.087 0.536 0.655
0.087 0.964 0.155
0.090 0.190 0.728
0.090 0.310 0.228
0.108 0.698 0.764
0.108 0.802 0.264
0.146 0.225 0.125
0.146 0.275 0.625
0.148 0.711 0.358
0.148 0.789 0.858
0.150 0.546 0.222
0.150 0.954 0.722
0.152 0.512 0.038
0.152 0.988 0.538
0.163 0.046 0.264
0.163 0.454 0.764
0.221 0.084 0.968
0.221 0.416 0.468
0.235 0.575 0.555
0.235 0.925 0.055
0.265 0.075 0.555
0.265 0.425 0.055
0.279 0.584 0.968
0.279 0.916 0.468
0.337 0.546 0.264
0.337 0.954 0.764
0.348 0.012 0.038
0.348 0.488 0.538
0.350 0.046 0.222
0.350 0.454 0.722
0.352 0.211 0.358
0.352 0.289 0.858
0.354 0.725 0.125
0.354 0.775 0.625
0.392 0.198 0.764
0.392 0.302 0.264
0.410 0.690 0.728
0.410 0.810 0.228
0.413 0.036 0.655
0.413 0.464 0.155
0.424 0.571 0.091
0.424 0.929 0.591
0.480 0.130 0.897
0.480 0.188 0.059
0.480 0.312 0.559
0.480 0.370 0.397
0.494 0.211 0.491
0.494 0.289 0.991
0.506 0.711 0.009
0.506 0.789 0.509
0.520 0.630 0.603
0.520 0.688 0.441
0.520 0.812 0.941
0.520 0.870 0.103
0.576 0.071 0.409
0.576 0.429 0.909
0.587 0.536 0.845
0.587 0.964 0.345
0.590 0.190 0.772
0.590 0.310 0.272
0.608 0.698 0.736
0.608 0.802 0.236
0.646 0.225 0.375
0.646 0.275 0.875
0.648 0.711 0.142
0.648 0.789 0.642
0.650 0.546 0.278
0.650 0.954 0.778
0.652 0.512 0.462
0.652 0.988 0.962
0.663 0.046 0.236
0.663 0.454 0.736
0.721 0.084 0.532
0.721 0.416 0.032
0.735 0.575 0.945
0.735 0.925 0.445
0.765 0.075 0.945
0.765 0.425 0.445
0.779 0.584 0.532
0.779 0.916 0.032
0.837 0.546 0.236
0.837 0.954 0.736
0.848 0.012 0.462
0.848 0.488 0.962
0.850 0.046 0.278
0.850 0.454 0.778
0.852 0.211 0.142
0.852 0.289 0.642
0.854 0.725 0.375
0.854 0.775 0.875
0.892 0.198 0.736
0.892 0.302 0.236
0.910 0.690 0.772
0.910 0.810 0.272
0.913 0.036 0.845
0.913 0.464 0.345
0.924 0.571 0.409
0.924 0.929 0.909
0.980 0.130 0.603
0.980 0.188 0.441
0.980 0.312 0.941
0.980 0.370 0.103
0.994 0.211 0.009
0.994 0.289 0.509
```

Copy entry 1 word for word.
The following is a PBE calculation of an optimized crystal structure of LiAs, from Alexandria via LeMat-Bulk.

## Properties
**Final energy**: -0.128 Ha/atom
**Space group**: No. 227
**Calculated volume**: 71 Å³ per cell

POSCAR file:
```
LiAs
1.0
0.000 3.294 3.294
3.294 0.000 3.294
3.294 3.294 0.000
Li As
2 2
Direct
0.125 0.125 0.125
0.875 0.875 0.875
0.375 0.375 0.375
0.625 0.625 0.625
```